PmPuHf | PBE | optimized geometry

CIF file:
```
data_PmPuHf
_space_group_name_H-M_alt 'P 1'
_space_group_IT_number 1
_cell_length_a 5.0354
_cell_length_b 5.0354
_cell_length_c 5.0354
_cell_angle_alpha 60.00
_cell_angle_beta 60.00
_cell_angle_gamma 60.00
loop_
_space_group_symop_operation_xyz
'x,y,z'
loop_
_atom_site_label
_atom_site_fract_x
_atom_site_fract_y
_atom_site_fract_z
Hf1 0.0000 0.0000 0.0000
Pm1 0.2500 0.2500 0.2500
Pu1 0.7500 0.7500 0.7500
```

Properties
energy above the most stable polymorph in this dataset = 0.0000 eV/atom
theoretical density = 10.4 g/cm³
space-group type = F-43m


RbPmHf | PBE | optimized geometry

CIF file:
```
data_RbPmHf
_space_group_name_H-M_alt 'P 1'
_space_group_IT_number 1
_cell_length_a 5.7371
_cell_length_b 5.7371
_cell_length_c 5.7371
_cell_angle_alpha 60.00
_cell_angle_beta 60.00
_cell_angle_gamma 60.00
loop_
_space_group_symop_operation_xyz
'x,y,z'
loop_
_atom_site_label
_atom_site_fract_x
_atom_site_fract_y
_atom_site_fract_z
Rb1 0.7500 0.7500 0.7500
Pm1 0.2500 0.2500 0.2500
Hf1 0.0000 0.0000 0.0000
```

Properties
energy above the most stable polymorph in this dataset = 0.0000 eV/atom
theoretical density = 5.1 g/cm³
space-group type = F-43m


PmHfSi | PBE | optimized geometry

CIF file:
```
data_PmHfSi
_space_group_name_H-M_alt 'P 1'
_space_group_IT_number 1
_cell_length_a 4.6999
_cell_length_b 4.6999
_cell_length_c 4.6999
_cell_angle_alpha 60.00
_cell_angle_beta 60.00
_cell_angle_gamma 60.00
loop_
_space_group_symop_operation_xyz
'x,y,z'
loop_
_atom_site_label
_atom_site_fract_x
_atom_site_fract_y
_atom_site_fract_z
Pm1 0.7500 0.7500 0.7500
Si1 0.0000 0.0000 0.0000
Hf1 0.2500 0.2500 0.2500
```

Properties
E = -6.917 eV per atom
theoretical density = 8.0 g/cm³
space-group type = F-43m


PmSmHf | PBE | optimized geometry

CIF file:
```
data_PmSmHf
_space_group_name_H-M_alt 'P 1'
_space_group_IT_number 1
_cell_length_a 5.2425
_cell_length_b 5.2425
_cell_length_c 5.2425
_cell_angle_alpha 60.00
_cell_angle_beta 60.00
_cell_angle_gamma 60.00
loop_
_space_group_symop_operation_xyz
'x,y,z'
loop_
_atom_site_label
_atom_site_fract_x
_atom_site_fract_y
_atom_site_fract_z
Sm1 0.7500 0.7500 0.7500
Pm1 0.2500 0.2500 0.2500
Hf1 0.0000 0.0000 0.0000
```

Properties
energy above the most stable polymorph in this dataset = 0.0000 eV/atom
theoretical density = 7.7 g/cm³
space-group type = F-43m


PmHfTa | PBE | optimized geometry

CIF file:
```
data_PmHfTa
_space_group_name_H-M_alt 'P 1'
_space_group_IT_number 1
_cell_length_a 4.8282
_cell_length_b 4.8282
_cell_length_c 4.8282
_cell_angle_alpha 60.00
_cell_angle_beta 60.00
_cell_angle_gamma 60.00
loop_
_space_group_symop_operation_xyz
'x,y,z'
loop_
_atom_site_label
_atom_site_fract_x
_atom_site_fract_y
_atom_site_fract_z
Pm1 0.2500 0.2500 0.2500
Hf1 0.0000 0.0000 0.0000
Ta1 0.7500 0.7500 0.7500
```

Properties
E = -7.734 eV per atom
theoretical density = 10.5 g/cm³
space-group type = F-43m


TbPmHf | PBE | optimized geometry

CIF file:
```
data_TbPmHf
_space_group_name_H-M_alt 'P 1'
_space_group_IT_number 1
_cell_length_a 5.2200
_cell_length_b 5.2200
_cell_length_c 5.2200
_cell_angle_alpha 60.00
_cell_angle_beta 60.00
_cell_angle_gamma 60.00
loop_
_space_group_symop_operation_xyz
'x,y,z'
loop_
_atom_site_label
_atom_site_fract_x
_atom_site_fract_y
_atom_site_fract_z
Hf1 0.0000 0.0000 0.0000
Pm1 0.2500 0.2500 0.2500
Tb1 0.7500 0.7500 0.7500
```

Properties
energy above the most stable polymorph in this dataset = 0.0000 eV/atom
theoretical density = 8.0 g/cm³
space-group type = F-43m


PmHfTe | PBE | optimized geometry

CIF file:
```
data_PmHfTe
_space_group_name_H-M_alt 'P 1'
_space_group_IT_number 1
_cell_length_a 4.9535
_cell_length_b 4.9535
_cell_length_c 4.9535
_cell_angle_alpha 60.00
_cell_angle_beta 60.00
_cell_angle_gamma 60.00
loop_
_space_group_symop_operation_xyz
'x,y,z'
loop_
_atom_site_label
_atom_site_fract_x
_atom_site_fract_y
_atom_site_fract_z
Te1 0.0000 0.0000 0.0000
Hf1 0.2500 0.2500 0.2500
Pm1 0.7500 0.7500 0.7500
```

Properties
energy above the most stable polymorph in this dataset = 0.0000 eV/atom
theoretical density = 8.7 g/cm³
space-group type = F-43m


PmHfTe | PBE | optimized geometry

CIF file:
```
data_PmHfTe
_space_group_name_H-M_alt 'P 1'
_space_group_IT_number 1
_cell_length_a 5.5266
_cell_length_b 5.5266
_cell_length_c 3.1480
_cell_angle_alpha 90.00
_cell_angle_beta 90.00
_cell_angle_gamma 120.00
loop_
_space_group_symop_operation_xyz
'x,y,z'
loop_
_atom_site_label
_atom_site_fract_x
_atom_site_fract_y
_atom_site_fract_z
Pm1 0.6667 0.3333 0.0000
Te1 0.3333 0.6667 0.0000
Hf1 0.0000 0.0000 0.0000
```

Properties
energy above the most stable polymorph in this dataset = 0.3378 eV/atom
theoretical density = 9.0 g/cm³
space-group type = P-6m2


> Which formula does entry 3 have?

PmHfSi